[1]
A geometry-optimized TcIr2 structure. Source: Alexandria via LeMat-Bulk, functional GGA-PBE.

abc: 4.3528 4.3528 2.7084
angles: 90.00 90.00 120.00
Closest atoms and distances in Å follow each position.
Space group P6/mmm (No. 191)
One atom of each set of equivalent atoms:
Tc 0.0000 0.0000 0.0000  2 Tc 2.71, 12 Ir 2.85
Ir 0.3333 0.6667 0.5000  5 Ir 2.51-2.71

Properties
Calculated total energy   -0.6851 Ry/atom

=====

[2]
A geometry-optimized TcIr2 structure. Source: Alexandria via LeMat-Bulk, functional GGA-PBE.

abc: 2.7349 2.7349 11.6299
angles: 90.00 90.00 90.00
Closest atoms and distances in Å follow each position.
Space group I4/mmm (No. 139)
One atom of each set of equivalent atoms:
Tc 0.0000 0.0000 0.0000  8 Ir 2.71, 4 Tc 2.73
Ir 0.0000 0.0000 0.3373  4 Tc 2.71, 8 Ir 2.73-2.80

Properties
Calculated total energy   -0.6993 Ry/atom

=====

[3]
A geometry-optimized Tc2Ir3 structure. Source: Alexandria via LeMat-Bulk, functional GGA-PBE.

abc: 9.2716 13.3358 4.7641
angles: 90.00 90.00 90.00
Closest atoms and distances in Å follow each position.
Space group Fdd2 (No. 43)
One atom of each set of equivalent atoms:
Tc 0.0280 0.2961 0.0000  9 Ir 2.56-2.84, 2 Tc 2.73
Ir 0.0000 0.0000 0.4586  6 Tc 2.56-2.83, 4 Ir 2.67-2.84
Ir 0.0366 0.3994 0.4784  6 Tc 2.66-2.84, 5 Ir 2.67-2.84

Properties
Calculated total energy   -0.6967 Ry/atom

=====

[4]
A geometry-optimized Tc3Ir structure. Source: Alexandria via LeMat-Bulk, functional GGA-PBE.

abc: 5.4892 7.7830 2.7216
angles: 90.00 90.00 90.00
Closest atoms and distances in Å follow each position.
Space group Cmmm (No. 65)
One atom of each set of equivalent atoms:
Tc 0.0000 0.0000 0.0000  10 Tc 2.72-2.74, 2 Ir 2.74
Tc 0.2500 0.2500 0.5000  8 Tc 2.72-2.74, 4 Ir 2.74
Ir 0.0000 0.5000 0.0000  2 Ir 2.72, 10 Tc 2.74

Properties
Calculated total energy   -0.7390 Ry/atom

=====

[5]
A geometry-optimized TcIr structure. Source: Alexandria via LeMat-Bulk, functional GGA-PBE.

abc: 2.7570 2.7570 4.3808
angles: 90.00 90.00 120.00
Closest atoms and distances in Å follow each position.
Space group P-6m2 (No. 187)
One atom of each set of equivalent atoms:
Tc 0.0000 0.0000 0.0000  6 Ir 2.71, 6 Tc 2.76
Ir 0.6667 0.3333 0.5000  6 Tc 2.71, 6 Ir 2.76

Properties
Calculated total energy   -0.7223 Ry/atom

=====

[6]
A geometry-optimized TcIr5 structure. Source: Alexandria via LeMat-Bulk, functional GGA-PBE.

abc: 7.2045 7.2045 7.2045
angles: 90.00 90.00 90.00
Closest atoms and distances in Å follow each position.
Space group F-43m (No. 216)
One atom of each set of equivalent atoms:
Tc 0.0000 0.0000 0.0000  16 Ir 2.99-3.12
Ir 0.1249 0.1249 0.6249  6 Ir 2.55
Ir 0.2500 0.2500 0.2500  12 Ir 2.99, 4 Tc 3.12

Properties
Calculated total energy   -0.6274 Ry/atom

=====

[7]
A geometry-optimized TcIr2 structure. Source: Alexandria via LeMat-Bulk, functional GGA-PBE.

abc: 2.7251 3.8738 8.2268
angles: 90.00 90.00 90.00
Closest atoms and distances in Å follow each position.
Space group Immm (No. 71)
One atom of each set of equivalent atoms:
Tc 0.0000 0.0000 0.0000  2 Tc 2.73, 10 Ir 2.73-2.76
Ir 0.0000 0.0000 0.3352  7 Ir 2.71-2.75, 5 Tc 2.73-2.76

Properties
Calculated total energy   -0.6996 Ry/atom

=====

[8]
A geometry-optimized Tc3Ir structure. Source: Alexandria via LeMat-Bulk, functional GGA-PBE.

abc: 2.7493 2.7493 8.8487
angles: 90.00 90.00 120.00
Closest atoms and distances in Å follow each position.
Space group P-6m2 (No. 187)
One atom of each set of equivalent atoms:
Tc 0.0000 0.0000 0.0000  12 Tc 2.72-2.75
Tc 0.3333 0.6667 0.2498  9 Tc 2.72-2.75, 3 Ir 2.72
Ir 0.0000 0.0000 0.5000  6 Tc 2.72, 6 Ir 2.75

Properties
Calculated total energy   -0.7429 Ry/atom